Entry 1:
YPt2W (PBE-GGA, relaxed); density of states at the Fermi level = 1.01 states/eV per atom; crystal system = tetragonal; energy relative to the lowest polymorph listed for this composition = 229 meV/atom; energy of formation from the pure elements = -0.190 eV per atom; spin magnetization = 0.00 μB/f.u.; E_tot = -8.06 eV/atom
1.0
-1.687 -4.695 1.618
3.862 -3.406 0.996
-0.993 4.953 1.411
Pt Y W
2 1 1
Direct
0.250 0.750 0.500
0.000 0.000 0.000
0.750 0.250 0.500
0.500 0.500 0.000



Entry 2:
YPtW2 (PBE-GGA, relaxed); density of states at the Fermi level = 1.34 states/eV per atom; crystal system = cubic; energy relative to the lowest polymorph listed for this composition = 624 meV/atom; energy of formation from the pure elements = 0.596 eV per atom; spin magnetization = 0.00 μB/f.u.; E_tot = -9.01 eV/atom
1.0
0.000 3.284 3.284
3.284 0.000 3.284
3.284 3.284 0.000
Pt Y W
1 1 2
Direct
0.500 0.500 0.500
0.000 0.000 0.000
0.750 0.750 0.750
0.250 0.250 0.250



Entry 3:
Y2PtW (PBE-GGA, relaxed); density of states at the Fermi level = 1.03 states/eV per atom; crystal system = orthorhombic; energy relative to the lowest polymorph listed for this composition = 0 meV/atom; energy of formation from the pure elements = -0.201 eV per atom; spin magnetization = 0.00 μB/f.u.; E_tot = -8.18 eV/atom
1.0
-2.215 -3.432 -1.143
3.163 -1.184 -2.573
3.803 -3.358 2.711
Y Pt W
2 1 1
Direct
0.500 0.276 0.324
0.000 0.972 0.931
0.000 0.689 0.498
0.500 0.564 0.747



Entry 4:
Y2PtW (PBE-GGA, relaxed); density of states at the Fermi level = 0.68 states/eV per atom; crystal system = tetragonal; energy relative to the lowest polymorph listed for this composition = 135 meV/atom; energy of formation from the pure elements = -0.066 eV per atom; spin magnetization = 0.00 μB/f.u.; E_tot = -8.05 eV/atom
1.0
-1.602 1.734 2.203
2.192 -0.807 2.228
4.763 7.092 -2.118
Y Pt W
2 1 1
Direct
0.500 0.500 0.306
0.000 0.000 0.946
0.000 0.000 0.542
0.500 0.500 0.707



Entry 5:
YPt2W (PBE-GGA, relaxed); density of states at the Fermi level = 0.90 states/eV per atom; crystal system = monoclinic; energy relative to the lowest polymorph listed for this composition = 103 meV/atom; energy of formation from the pure elements = -0.316 eV per atom; spin magnetization = 0.00 μB/f.u.; E_tot = -8.19 eV/atom
1.0
-1.394 4.749 -0.998
-2.078 3.140 -3.364
-4.936 -0.259 1.603
Y Pt W
1 2 1
Direct
0.747 0.747 0.783
0.996 0.996 0.990
0.248 0.248 0.293
0.510 0.510 0.434



Entry 6:
YPt2W (PBE-GGA, relaxed); density of states at the Fermi level = 1.31 states/eV per atom; crystal system = cubic; energy relative to the lowest polymorph listed for this composition = 230 meV/atom; energy of formation from the pure elements = -0.188 eV per atom; spin magnetization = 0.00 μB/f.u.; E_tot = -8.06 eV/atom
1.0
0.000 3.333 3.333
3.333 0.000 3.333
3.333 3.333 0.000
Pt Y W
2 1 1
Direct
0.250 0.250 0.250
0.750 0.750 0.750
0.000 0.000 0.000
0.500 0.500 0.500



Entry 7:
Y2PtW (PBE-GGA, relaxed); density of states at the Fermi level = 1.08 states/eV per atom; crystal system = monoclinic; energy relative to the lowest polymorph listed for this composition = 31 meV/atom; energy of formation from the pure elements = -0.170 eV per atom; spin magnetization = 0.00 μB/f.u.; E_tot = -8.15 eV/atom
1.0
3.620 0.000 0.000
0.000 3.359 0.007
0.000 3.334 7.089
Pt Y W
1 2 1
Direct
0.500 0.250 0.250
0.000 0.995 0.006
0.000 0.505 0.494
0.500 0.750 0.750



Entry 8:
Y2PtW (PBE-GGA, relaxed); density of states at the Fermi level = 1.57 states/eV per atom; crystal system = cubic; energy relative to the lowest polymorph listed for this composition = 182 meV/atom; energy of formation from the pure elements = -0.019 eV per atom; spin magnetization = 1.48 μB/f.u.; E_tot = -8.00 eV/atom
1.0
2.868 2.117 3.448
-1.182 -0.407 4.799
2.760 -2.821 3.003
Y W Pt
2 1 1
Direct
0.750 0.750 0.750
0.250 0.250 0.250
0.000 0.000 0.000
0.500 0.500 0.500



Entry 9:
YPtW2 (PBE-GGA, relaxed); density of states at the Fermi level = 0.82 states/eV per atom; crystal system = tetragonal; energy relative to the lowest polymorph listed for this composition = 433 meV/atom; energy of formation from the pure elements = 0.405 eV per atom; spin magnetization = 0.00 μB/f.u.; E_tot = -9.20 eV/atom
1.0
-3.106 1.821 1.325
-0.187 -2.458 2.940
4.609 6.135 7.925
W Pt Y
4 2 2
Direct
0.875 0.885 0.750
0.375 0.365 0.750
0.635 0.125 0.250
0.115 0.625 0.250
0.000 0.000 0.000
0.750 0.250 0.500
0.250 0.750 0.500
0.500 0.500 0.000



Entry 10:
YPt2W (PBE-GGA, relaxed); density of states at the Fermi level = 1.22 states/eV per atom; crystal system = tetragonal; energy relative to the lowest polymorph listed for this composition = 185 meV/atom; energy of formation from the pure elements = -0.234 eV per atom; spin magnetization = 0.44 μB/f.u.; E_tot = -8.11 eV/atom
1.0
5.006 -0.011 0.000
1.439 4.795 0.000
-3.223 -2.392 2.993
Pt Y W
2 1 1
Direct
0.500 0.500 0.000
0.000 0.000 0.000
0.750 0.250 0.500
0.250 0.750 0.500



Entry 11:
YPtW2 (PBE-GGA, relaxed); density of states at the Fermi level = 0.79 states/eV per atom; crystal system = cubic; energy relative to the lowest polymorph listed for this composition = 131 meV/atom; energy of formation from the pure elements = 0.103 eV per atom; spin magnetization = 0.00 μB/f.u.; E_tot = -9.50 eV/atom
1.0
4.673 0.000 0.000
2.337 4.047 0.000
2.337 1.349 3.816
Y Pt W
1 1 2
Direct
0.750 0.750 0.750
0.500 0.500 0.500
0.000 0.000 0.000
0.250 0.250 0.250



Entry 12:
YPtW2 (PBE-GGA, relaxed); density of states at the Fermi level = 1.08 states/eV per atom; crystal system = tetragonal; energy relative to the lowest polymorph listed for this composition = 305 meV/atom; energy of formation from the pure elements = 0.277 eV per atom; spin magnetization = 0.00 μB/f.u.; E_tot = -9.33 eV/atom
1.0
-0.623 2.644 0.774
-2.619 -0.812 0.680
2.763 -1.826 8.464
Y W Pt
1 2 1
Direct
0.500 0.500 0.250
0.000 0.000 0.972
0.000 0.000 0.528
0.500 0.500 0.750



Entry 13:
ZnPtW2 (PBE-GGA, relaxed); density of states at the Fermi level = 0.62 states/eV per atom; crystal system = tetragonal; energy of formation from the pure elements = 0.066 eV per atom; spin magnetization = 0.00 μB/f.u.; E_tot = -8.24 eV/atom
1.0
-2.366 -1.122 -0.768
1.351 -2.126 -1.050
-0.505 -3.906 7.255
W Pt Zn
2 1 1
Direct
0.000 0.000 0.498
0.000 0.000 0.002
0.500 0.500 0.750
0.500 0.500 0.250



Entry 14:
ZnPtW3 (PBE-GGA, relaxed); density of states at the Fermi level = 0.93 states/eV per atom; crystal system = cubic; energy relative to the lowest polymorph listed for this composition = 0 meV/atom; energy of formation from the pure elements = 1.808 eV per atom; spin magnetization = 0.00 μB/f.u.; E_tot = -7.43 eV/atom
1.0
-0.154 -3.476 -2.837
3.851 1.354 -1.868
2.302 -2.498 2.935
W Pt Zn
3 1 1
Direct
0.000 0.000 0.500
0.000 0.500 0.000
0.500 0.000 0.000
0.500 0.500 0.500
0.000 0.000 0.000



Entry 15:
ZnPtW2 (PBE-GGA, relaxed); density of states at the Fermi level = 0.42 states/eV per atom; crystal system = tetragonal; energy of formation from the pure elements = 0.017 eV per atom; spin magnetization = 0.00 μB/f.u.; E_tot = -8.29 eV/atom
1.0
-1.689 -0.670 -2.715
0.179 -3.191 0.676
-4.993 0.360 3.018
Pt W Zn
1 2 1
Direct
0.500 0.500 0.730
0.500 0.500 0.247
0.000 0.000 0.016
0.000 0.000 0.506



Entry 16:
ZnPtW2 (PBE-GGA, relaxed); density of states at the Fermi level = 0.56 states/eV per atom; crystal system = orthorhombic; energy of formation from the pure elements = 0.058 eV per atom; spin magnetization = 0.00 μB/f.u.; E_tot = -8.25 eV/atom
1.0
3.764 0.000 0.000
0.000 3.793 0.000
0.000 0.000 4.319
W Pt Zn
2 1 1
Direct
0.500 0.500 0.000
0.000 0.000 0.000
0.000 0.500 0.500
0.500 0.000 0.500



Entry 17:
Zn2Pt3W (PBE-GGA, relaxed); density of states at the Fermi level = 0.55 states/eV per atom; crystal system = tetragonal; energy of formation from the pure elements = -0.449 eV per atom; spin magnetization = 0.00 μB/f.u.; E_tot = -6.05 eV/atom
1.0
2.820 0.000 0.000
0.000 2.820 0.000
0.000 0.000 11.309
Zn Pt W
2 3 1
Direct
0.500 0.500 0.840
0.500 0.500 0.160
0.000 0.000 0.329
0.000 0.000 0.000
0.000 0.000 0.671
0.500 0.500 0.500



Entry 18:
ZnPt3W (PBE-GGA, relaxed); density of states at the Fermi level = 1.20 states/eV per atom; crystal system = cubic; energy relative to the lowest polymorph listed for this composition = 0 meV/atom; energy of formation from the pure elements = 1.137 eV per atom; spin magnetization = 0.00 μB/f.u.; E_tot = -5.33 eV/atom
1.0
4.859 0.000 0.000
0.000 4.859 0.000
0.000 0.000 4.859
Pt Zn W
3 1 1
Direct
0.500 0.000 0.000
0.000 0.500 0.000
0.000 0.000 0.500
0.500 0.500 0.500
0.000 0.000 0.000



Entry 19:
ZnPt6W (PBE-GGA, relaxed); density of states at the Fermi level = 0.40 states/eV per atom; crystal system = tetragonal; energy of formation from the pure elements = -0.350 eV per atom; spin magnetization = 0.00 μB/f.u.; E_tot = -6.66 eV/atom
1.0
3.960 0.000 0.000
0.000 3.960 0.000
0.000 0.000 7.866
Pt W Zn
6 1 1
Direct
0.500 0.000 0.256
0.500 0.500 0.000
0.500 0.500 0.500
0.000 0.500 0.256
0.500 0.000 0.744
0.000 0.500 0.744
0.000 0.000 0.500
0.000 0.000 0.000



Entry 20:
ZnPtW2 (PBE-GGA, relaxed); density of states at the Fermi level = 0.55 states/eV per atom; crystal system = orthorhombic; energy of formation from the pure elements = 0.015 eV per atom; spin magnetization = 0.00 μB/f.u.; E_tot = -8.29 eV/atom
1.0
-1.425 1.213 1.972
-2.942 -2.717 -0.454
2.486 -3.335 3.848
W Pt Zn
2 1 1
Direct
0.000 0.000 0.006
0.500 0.500 0.253
0.500 0.500 0.735
0.000 0.000 0.507



Entry 21:
ZnPtW2 (PBE-GGA, relaxed); density of states at the Fermi level = 0.57 states/eV per atom; crystal system = orthorhombic; energy of formation from the pure elements = -0.036 eV per atom; spin magnetization = 0.00 μB/f.u.; E_tot = -8.34 eV/atom
1.0
-2.433 1.101 0.608
-0.067 -2.402 1.314
3.388 3.678 6.896
Pt W Zn
1 2 1
Direct
0.500 0.500 0.747
0.000 0.000 0.992
0.500 0.500 0.254
0.000 0.000 0.507



Entry 22:
ZnPtW2 (PBE-GGA, relaxed); density of states at the Fermi level = 0.65 states/eV per atom; crystal system = tetragonal; energy of formation from the pure elements = 0.005 eV per atom; spin magnetization = 0.00 μB/f.u.; E_tot = -8.30 eV/atom
1.0
-4.142 -2.910 -0.025
-0.091 -3.802 3.342
0.975 4.966 0.142
W Pt Zn
2 1 1
Direct
0.500 0.500 0.000
0.000 0.000 0.000
0.750 0.250 0.500
0.250 0.750 0.500



Entry 23:
Zn3Pt12W5 (PBE-GGA, relaxed); density of states at the Fermi level = 0.70 states/eV per atom; crystal system = cubic; energy of formation from the pure elements = 0.368 eV per atom; spin magnetization = 0.00 μB/f.u.; E_tot = -6.69 eV/atom
1.0
-2.957 -10.217 -6.926
-3.506 -1.898 12.050
-6.066 10.145 -4.623
Pt W Zn
48 20 12
Direct
0.732 0.604 0.170
0.128 0.396 0.066
0.438 0.670 0.066
0.372 0.434 0.104
0.938 0.372 0.268
0.670 0.438 0.566
0.872 0.268 0.438
0.562 0.330 0.934
0.396 0.128 0.566
0.170 0.066 0.938
0.872 0.604 0.934
0.062 0.434 0.830
0.830 0.896 0.268
0.372 0.938 0.768
0.434 0.372 0.604
0.934 0.104 0.872
0.128 0.732 0.562
0.670 0.232 0.604
0.438 0.768 0.872
0.604 0.732 0.670
0.566 0.938 0.670
0.934 0.830 0.562
0.562 0.232 0.128
0.896 0.830 0.768
0.434 0.062 0.330
0.604 0.872 0.434
0.066 0.170 0.438
0.830 0.934 0.062
0.330 0.768 0.396
0.170 0.104 0.732
0.232 0.562 0.628
0.938 0.566 0.170
0.104 0.170 0.232
0.062 0.628 0.732
0.768 0.438 0.372
0.268 0.396 0.830
0.104 0.934 0.372
0.768 0.330 0.896
0.396 0.268 0.330
0.896 0.066 0.628
0.066 0.896 0.128
0.330 0.562 0.434
0.232 0.670 0.104
0.268 0.872 0.938
0.732 0.128 0.062
0.566 0.628 0.396
0.628 0.062 0.232
0.628 0.566 0.896
0.250 0.875 0.125
0.875 0.250 0.625
0.750 0.125 0.875
0.125 0.750 0.375
0.250 0.375 0.625
0.125 0.375 0.250
0.500 0.000 0.500
0.625 0.875 0.250
0.625 0.750 0.875
0.000 0.500 0.500
0.875 0.625 0.750
0.500 0.000 0.000
0.750 0.625 0.375
0.000 0.000 0.500
0.500 0.500 0.000
0.000 0.000 0.000
0.000 0.500 0.000
0.500 0.500 0.500
0.375 0.125 0.750
0.375 0.250 0.125
0.250 0.125 0.375
0.750 0.875 0.625
0.625 0.375 0.750
0.125 0.875 0.750
0.125 0.250 0.875
0.750 0.375 0.125
0.625 0.250 0.375
0.375 0.625 0.250
0.250 0.625 0.875
0.375 0.750 0.625
0.875 0.125 0.250
0.875 0.750 0.125



Entry 24:
ZnPtW2 (PBE-GGA, relaxed); density of states at the Fermi level = 0.52 states/eV per atom; crystal system = monoclinic; energy of formation from the pure elements = 0.045 eV per atom; spin magnetization = 0.00 μB/f.u.; E_tot = -8.26 eV/atom
1.0
5.005 -0.004 0.002
4.171 2.767 0.002
0.823 0.248 4.493
Zn W Pt
1 2 1
Direct
0.250 0.250 0.250
0.495 0.495 0.504
0.005 0.005 0.996
0.750 0.750 0.750



Entry 25:
ZnPtW2 (PBE-GGA, relaxed); density of states at the Fermi level = 1.23 states/eV per atom; crystal system = trigonal; energy of formation from the pure elements = 0.077 eV per atom; spin magnetization = 0.00 μB/f.u.; E_tot = -8.23 eV/atom
1.0
9.354 0.005 0.003
8.932 2.778 0.003
8.932 1.359 2.422
W Pt Zn
2 1 1
Direct
0.248 0.248 0.248
0.003 0.003 0.003
0.751 0.751 0.751
0.498 0.498 0.498